Entry 1:
HfInNF2 | PBE | relaxed

Computed properties:
- theoretical density (g/cm3) = 7.6
- E_form (uncorrected) (eV/atom) = -0.481
- magnetic moment (μB/cell) = 1.46

```
data_HfInNF2
_chemical_formula_sum 'Hf1 In1 N1 F2'
_cell_length_a 4.1922
_cell_length_b 4.1922
_cell_length_c 4.3185
_cell_angle_alpha 90.00
_cell_angle_beta 90.00
_cell_angle_gamma 90.00
_symmetry_space_group_name_H-M 'P 4/m m m'
_symmetry_Int_Tables_number 123
_symmetry_space_group_name_Hall '-P 4 2'
loop_
_atom_site_label
_atom_site_fract_x
_atom_site_fract_y
_atom_site_fract_z
Hf1 0.0000 0.0000 0.0000
In1 0.5000 0.5000 0.5000
N1 0.5000 0.5000 0.0000
F1 0.0000 0.5000 0.5000
```

***

Entry 2:
Y4Ga5Ge6 | PBE | relaxed

Computed properties:
- theoretical density (g/cm3) = 5.8
- energy of formation from the pure elements (meV per atom) = -470
- magnetic moment (μB/cell) = 0.00

```
data_Y4Ga5Ge6
_chemical_formula_sum 'Y16 Ga20 Ge24'
_cell_length_a 4.0981
_cell_length_b 19.0928
_cell_length_c 16.6393
_cell_angle_alpha 90.00
_cell_angle_beta 90.00
_cell_angle_gamma 90.00
_symmetry_space_group_name_H-M 'C m c 21'
_symmetry_Int_Tables_number 36
loop_
_symmetry_equiv_pos_as_xyz
'x,y,z'
'-x,-y,z+1/2'
'-x,y,z'
'x,-y,z+1/2'
'x+1/2,y+1/2,z'
'-x+1/2,-y+1/2,z+1/2'
'-x+1/2,y+1/2,z'
'x+1/2,-y+1/2,z+1/2'
loop_
_atom_site_label
_atom_site_fract_x
_atom_site_fract_y
_atom_site_fract_z
Y1 0.0000 0.0197 0.0000
Y2 0.0000 0.0526 0.2843
Y3 0.0000 0.1631 0.8048
Y4 0.0000 0.1906 0.4688
Ga1 0.0000 0.1325 0.1368
Ga2 0.0000 0.2990 0.1279
Ga3 0.0000 0.3210 0.8322
Ga4 0.0000 0.3470 0.4374
Ga5 0.0000 0.4373 0.2077
Ge1 0.0000 0.1105 0.6252
Ge2 0.0000 0.1955 0.0065
Ge3 0.0000 0.2180 0.2577
Ge4 0.0000 0.4210 0.9263
Ge5 0.0000 0.4489 0.6328
Ge6 0.0000 0.4549 0.3589
```

***

Entry 3:
Mn2CrSe5 | PBE | relaxed

Computed properties:
- theoretical density (g/cm3) = 5.5
- E_form (uncorrected) (eV/atom) = -0.158
- magnetic moment (μB/cell) = 39.98

```
data_Mn2CrSe5
_chemical_formula_sum 'Mn8 Cr4 Se20'
_cell_length_a 4.8495
_cell_length_b 10.4816
_cell_length_c 13.1752
_cell_angle_alpha 90.00
_cell_angle_beta 90.00
_cell_angle_gamma 90.00
_symmetry_space_group_name_H-M 'F m m m'
_symmetry_Int_Tables_number 69
_symmetry_space_group_name_Hall '-F 2 2'
loop_
_atom_site_label
_atom_site_fract_x
_atom_site_fract_y
_atom_site_fract_z
Mn1 0.0000 0.0000 0.1915
Cr1 0.0000 0.0000 0.5000
Se1 0.0000 0.0000 0.0000
Se2 0.0000 0.1474 0.3482
```

***

Entry 4:
K2MnNbS4 | PBE | relaxed

Computed properties:
- theoretical density (g/cm3) = 2.6
- E_form (uncorrected) (eV/atom) = -0.941
- magnetic moment (μB/cell) = 7.99

```
data_K2MnNbS4
_chemical_formula_sum 'K4 Mn2 Nb2 S8'
_cell_length_a 6.9421
_cell_length_b 6.9421
_cell_length_c 9.5520
_cell_angle_alpha 90.00
_cell_angle_beta 90.00
_cell_angle_gamma 90.00
_symmetry_space_group_name_H-M 'I -4'
_symmetry_Int_Tables_number 82
loop_
_symmetry_equiv_pos_as_xyz
'x,y,z'
'y,-x,-z'
'-x,-y,z'
'-y,x,-z'
'x+1/2,y+1/2,z+1/2'
'y+1/2,-x+1/2,-z+1/2'
'-x+1/2,-y+1/2,z+1/2'
'-y+1/2,x+1/2,-z+1/2'
loop_
_atom_site_label
_atom_site_fract_x
_atom_site_fract_y
_atom_site_fract_z
K1 0.0000 0.0000 0.0000
K2 0.0000 0.5000 0.2500
Mn1 0.0000 0.0000 0.5000
Nb1 0.0000 0.5000 0.7500
S1 0.1510 0.2602 0.6175
```

***

Q: Which of these has the lowest theoretical density?
A: K2MnNbS4

***

Q: theoretical density of number 4 (K2MnNbS4)?
A: 2.6 g/cm3